This record from the Alexandria database describes an optimized crystal structure of PmTmMo2O8. The functional is PBE+U.

The density is 6.79 g/cm³. Its space group is I-4 (82). The calculation puts the size of the total moment at 0.17 μB/atom. The uncorrected energy is -7.704 eV per atom.

Lattice parameters (Å, degrees): 5.273 5.273 6.706 113.15 113.15 90.00
Last column: magnetic moment on the atom in μB.
Fractional coordinates of all 12 atoms:
Pm: 0.750 0.250 0.500  0.02
Tm: 0.000 0.000 0.000  0.03
Mo: 0.500 0.500 0.000  1.80
Mo: 0.250 0.750 0.500  0.05
O: 0.781 0.854 0.179  0.02
O: 0.398 0.326 0.179  0.02
O: 0.572 0.666 0.678  0.00
O: 0.106 0.012 0.678  0.00
O: 0.988 0.428 0.322  0.00
O: 0.334 0.894 0.322  0.00
O: 0.146 0.602 0.821  0.02
O: 0.674 0.219 0.821  0.02